1.
# Ba5InI4 (PBE, optimized geometry)
# E_form (uncorrected): -1.180 eV per atom
# V: 45.93 Å³ per atom
# Magnetization: 0.0 μB/f.u.
data_Ba5InI4
_cell_length_a 11.370
_cell_length_b 11.370
_cell_length_c 7.106
_cell_angle_alpha 90.00
_cell_angle_beta 90.00
_cell_angle_gamma 90.00
_space_group_name_H-M_alt 'I 4/m'
_space_group_IT_number 87
_space_group_name_Hall '-I 4'
loop_
_atom_site_label
_atom_site_fract_x
_atom_site_fract_y
_atom_site_fract_z
_atom_site_occupancy
Ba1 0.000 0.000 0.000 1
Ba2 0.098 0.717 0.500 1
In1 0.000 0.000 0.500 1
I1 0.093 0.691 0.000 1

2.
# Ba3InI3 (PBE, optimized geometry)
# E_form (uncorrected): -1.200 eV per atom
# V: 52.43 Å³ per atom
# Magnetization: 0.8 μB/f.u.
data_Ba3InI3
_cell_length_a 14.319
_cell_length_b 14.319
_cell_length_c 14.319
_cell_angle_alpha 90.00
_cell_angle_beta 90.00
_cell_angle_gamma 90.00
_space_group_name_H-M_alt 'I 41 3 2'
_space_group_IT_number 214
_space_group_name_Hall 'I 4bd 2c 3'
loop_
_atom_site_label
_atom_site_fract_x
_atom_site_fract_y
_atom_site_fract_z
_atom_site_occupancy
Ba1 0.124 0.374 0.125 1
In1 0.125 0.125 0.125 1
I1 0.124 0.375 0.374 1

3.
# BaInI2 (PBE, optimized geometry)
# Polymorph energy (0 for the lowest one): 0.00 eV per formula unit
# E_form (uncorrected): -0.942 eV per atom
# V: 39.34 Å³ per atom
# Magnetization: 0.3 μB/f.u.
data_BaInI2
_cell_length_a 8.570
_cell_length_b 8.570
_cell_length_c 8.570
_cell_angle_alpha 90.00
_cell_angle_beta 90.00
_cell_angle_gamma 90.00
_space_group_name_H-M_alt 'F m -3 m'
_space_group_IT_number 225
_space_group_name_Hall '-F 4 2 3'
loop_
_atom_site_label
_atom_site_fract_x
_atom_site_fract_y
_atom_site_fract_z
_atom_site_occupancy
Ba1 0.000 0.000 0.000 1
In1 0.000 0.000 0.500 1
I1 0.250 0.250 0.250 1

4.
# Ba2In2I (PBE, optimized geometry)
# E_form (uncorrected): -0.883 eV per atom
# V: 40.57 Å³ per atom
# Magnetization: 0.0 μB/f.u.
data_Ba2In2I
_cell_length_a 4.9800
_cell_length_b 4.9800
_cell_length_c 28.3343
_cell_angle_alpha 90.00
_cell_angle_beta 90.00
_cell_angle_gamma 120.00
_space_group_name_H-M_alt 'R -3 m'
_space_group_IT_number 166
_space_group_name_Hall '-R 3 2"'
loop_
_atom_site_label
_atom_site_fract_x
_atom_site_fract_y
_atom_site_fract_z
_atom_site_occupancy
Ba1 0.0000 0.0000 0.0837 1
In1 0.0000 0.0000 0.3238 1
I1 0.0000 0.0000 0.5000 1

5.
# BaIn2I6 (PBE, optimized geometry)
# Polymorph energy (0 for the lowest one): 0.00 eV per formula unit
# E_form (uncorrected): -0.898 eV per atom
# V: 67.61 Å³ per atom
# Magnetization: 0.0 μB/f.u.
data_BaIn2I6
_cell_length_a 8.8064
_cell_length_b 8.8064
_cell_length_c 27.1812
_cell_angle_alpha 90.00
_cell_angle_beta 90.00
_cell_angle_gamma 120.00
_space_group_name_H-M_alt 'R 3'
_space_group_IT_number 146
_space_group_name_Hall 'R 3'
loop_
_atom_site_label
_atom_site_fract_x
_atom_site_fract_y
_atom_site_fract_z
_atom_site_occupancy
Ba1 0.0000 0.0000 0.0000 1
In1 0.0000 0.0000 0.2821 1
In2 0.0000 0.0000 0.3843 1
I1 0.0065 0.5031 0.7584 1
I2 0.0069 0.5045 0.5748 1

6.
# BaIn3I (PBE, optimized geometry)
# Polymorph energy (0 for the lowest one): 2.15 eV per formula unit
# E_form (uncorrected): 0.542 eV per atom
# V: 59.16 Å³ per atom
# Magnetization: 0.8 μB/f.u.
data_BaIn3I
_cell_length_a 6.663
_cell_length_b 6.663
_cell_length_c 6.663
_cell_angle_alpha 90.00
_cell_angle_beta 90.00
_cell_angle_gamma 90.00
_space_group_name_H-M_alt 'P m -3 m'
_space_group_IT_number 221
_space_group_name_Hall '-P 4 2 3'
loop_
_atom_site_label
_atom_site_fract_x
_atom_site_fract_y
_atom_site_fract_z
_atom_site_occupancy
Ba1 0.000 0.000 0.000 1
In1 0.000 0.000 0.500 1
I1 0.500 0.500 0.500 1

7.
# BaInI2 (PBE, optimized geometry)
# Polymorph energy (0 for the lowest one): 0.99 eV per formula unit
# E_form (uncorrected): -0.695 eV per atom
# V: 57.28 Å³ per atom
# Magnetization: 0.0 μB/f.u.
data_BaInI2
_cell_length_a 4.9894
_cell_length_b 4.9894
_cell_length_c 31.8794
_cell_angle_alpha 90.00
_cell_angle_beta 90.00
_cell_angle_gamma 120.00
_space_group_name_H-M_alt 'R -3 m'
_space_group_IT_number 166
_space_group_name_Hall '-R 3 2"'
loop_
_atom_site_label
_atom_site_fract_x
_atom_site_fract_y
_atom_site_fract_z
_atom_site_occupancy
Ba1 0.0000 0.0000 0.0000 1
In1 0.0000 0.0000 0.5000 1
I1 0.0000 0.0000 0.1042 1

8.
# BaIn4I6 (PBE, optimized geometry)
# E_form (uncorrected): -0.791 eV per atom
# V: 45.01 Å³ per atom
# Magnetization: 0.0 μB/f.u.
data_BaIn4I6
_cell_length_a 10.864
_cell_length_b 8.863
_cell_length_c 10.823
_cell_angle_alpha 90.00
_cell_angle_beta 108.15
_cell_angle_gamma 90.00
_space_group_name_H-M_alt 'C 1 m 1'
_space_group_IT_number 8
loop_
_space_group_symop_operation_xyz
'x,y,z'
'x,-y,z'
'x+1/2,y+1/2,z'
'x+1/2,-y+1/2,z'
loop_
_atom_site_label
_atom_site_fract_x
_atom_site_fract_y
_atom_site_fract_z
_atom_site_occupancy
Ba1 0.000 0.000 0.000 1
In1 0.163 0.218 0.632 1
In2 0.266 0.500 0.227 1
In3 0.350 0.000 0.271 1
I1 0.075 0.238 0.285 1
I2 0.229 0.257 0.956 1
I3 0.383 0.500 0.658 1
I4 0.450 0.000 0.585 1

Copy entry 3 word for word.
# BaInI2 (PBE, optimized geometry)
# Polymorph energy (0 for the lowest one): 0.00 eV per formula unit
# E_form (uncorrected): -0.942 eV per atom
# V: 39.34 Å³ per atom
# Magnetization: 0.3 μB/f.u.
data_BaInI2
_cell_length_a 8.570
_cell_length_b 8.570
_cell_length_c 8.570
_cell_angle_alpha 90.00
_cell_angle_beta 90.00
_cell_angle_gamma 90.00
_space_group_name_H-M_alt 'F m -3 m'
_space_group_IT_number 225
_space_group_name_Hall '-F 4 2 3'
loop_
_atom_site_label
_atom_site_fract_x
_atom_site_fract_y
_atom_site_fract_z
_atom_site_occupancy
Ba1 0.000 0.000 0.000 1
In1 0.000 0.000 0.500 1
I1 0.250 0.250 0.250 1